Here is a geometry-optimized KBiSI2 structure from Alexandria via LeMat-Bulk. Energies are from PBE-GGA.

Lattice parameters (Å, degrees): 5.999 7.972 5.999 90.00 90.00 90.00
Each line ends with the local moment (μB).
Element x y z (fractional)
I 0.000 0.000 0.500  0.01
I 0.500 0.000 0.000  0.01
K 0.000 0.500 0.000  0.00
S 0.500 0.500 0.500  0.70
Bi 0.000 0.000 0.000  0.02

Values from the calculation:
ρ = 3.09 g cm⁻³
E = -2.3665 eV per atom

Here is a geometry-optimized MgAgO2 structure from Alexandria via LeMat-Bulk. Energies are from PBE-GGA.

Lattice parameters (Å, degrees): 6.341 6.341 6.341 27.92 27.92 27.92
Element x y z (fractional)
Mg 0.500 0.500 0.500
O 0.891 0.891 0.891
O 0.109 0.109 0.109
Ag 0.000 0.000 0.000

Values from the calculation:
ρ = 5.52 g cm⁻³
E = -4.8165 eV per atom

Here is a geometry-optimized Tb2Si4Ir3Ru structure from Alexandria via LeMat-Bulk. Energies are from PBE-GGA.

Lattice parameters (Å, degrees): 4.182 4.182 9.654 90.00 90.00 90.00
Element x y z (fractional)
Tb 0.500 0.000 0.248
Tb 0.000 0.500 0.752
Si 0.500 0.500 0.000
Si 0.000 0.000 0.000
Si 0.500 0.000 0.625
Si 0.000 0.500 0.375
Ir 0.000 0.000 0.500
Ir 0.500 0.000 0.873
Ir 0.000 0.500 0.127
Ru 0.500 0.500 0.500

Values from the calculation:
ρ = 10.89 g cm⁻³
E = -7.7049 eV per atom